1.
Crystalline BiHRu at its relaxed geometry. Source: the Alexandria database, functional PBE.

Cell lengths 3.1779, 5.2787, 7.6219 Å; angles 64.32, 77.97, 72.48 degrees
Last column: nearest neighbours and their distance in Å.
Fractional coordinates of all 6 atoms:
Ru1 0.3723 0.7808 0.4746  2 H 1.77-1.78
Ru2 0.6277 0.2192 0.5254  2 H 1.77-1.78
Bi1 0.8348 0.1464 0.1841  3 Ru 2.71-2.73, 1 H 2.77
Bi2 0.1652 0.8536 0.8159  3 Ru 2.71-2.73, 1 H 2.77
H1 0.5488 0.5698 0.3327  2 Ru 1.77-1.78
H2 0.4512 0.4302 0.6673  2 Ru 1.77-1.78

Total magnetic moment ... 0.0 Bohr magnetons per cell
Relative energy among the computed polymorphs ... 0.148 eV per formula unit
Volume ... 18.24 Å³ per atom
Space-group type ... C2/m (12)
Uncorrected energy ... -31.63 eV/cell

2.
Crystalline BiHRu2 at its relaxed geometry. Source: the Alexandria database, functional PBE.

Cell lengths 4.3952, 4.3952, 4.3952 Å; angles 60.00, 60.00, 60.00 degrees
Last column: nearest neighbours and their distance in Å.
Fractional coordinates of all 4 atoms:
Ru1 0.2500 0.2500 0.2500  4 Bi 2.69, 4 H 2.69
Ru2 0.7500 0.7500 0.7500  4 H 2.69, 4 Bi 2.69
Bi1 0.5000 0.5000 0.5000  8 Ru 2.69
H1 0.0000 0.0000 0.0000  8 Ru 2.69

Total magnetic moment ... 0.2 Bohr magnetons per cell
Relative energy among the computed polymorphs ... 2.059 eV per formula unit
Volume ... 15.01 Å³ per atom
Space-group type ... Fm-3m (225)
Uncorrected energy ... -22.09 eV/cell

3.
Crystalline BiH2Ru at its relaxed geometry. Source: the Alexandria database, functional PBE.

Cell lengths 3.3683, 3.3683, 5.0692 Å; angles 109.44, 109.44, 89.97 degrees
Last column: nearest neighbours and their distance in Å.
Fractional coordinates of all 4 atoms:
Bi1 0.2970 0.7969 0.5943  8 H 2.79-2.81, 5 Ru 2.82-2.90
H1 0.5452 0.5455 0.0908  2 Ru 1.79
H2 0.0455 0.0453 0.0908  2 Ru 1.79
Ru1 0.6124 0.1124 0.2241  4 H 1.79

Total magnetic moment ... 0.0 Bohr magnetons per cell
Relative energy among the computed polymorphs ... 0.000 eV per formula unit
Volume ... 12.69 Å³ per atom
Space-group type ... I4mm (107)
Uncorrected energy ... -19.55 eV/cell

The lowest volume belongs to which entry?
BiH2Ru